VASP calculation (GGA-PBEsol) on a relaxed structure of Li2NiMo.

Properties
**DFT total energy**: -20.77 eV for the cell shown
**Total magnetic moment**: 0.00 μB/f.u.
**Relative energy among the computed polymorphs**: 0.00 eV per formula unit

a = 2.4859 Å, b = 4.3784 Å, c = 5.1067 Å
α = 95.48°, β = 90.00°, γ = 106.49°
Fractional positions:
1 Li 0.0122 0.0243 0.9803
2 Li 0.2542 0.5084 0.7839
3 Mo 0.4915 0.9829 0.4518
4 Ni 0.7422 0.4843 0.2841



VASP calculation (GGA-PBEsol) on a relaxed structure of Al2TlCl.

Properties
**DFT total energy**: -13.41 eV for the cell shown
**Total magnetic moment**: 0.00 μB/f.u.
**Uncorrected formation energy**: -0.1469 eV per atom
**Relative energy among the computed polymorphs**: 0.00 eV per formula unit

a = 3.2159 Å, b = 3.2159 Å, c = 9.6764 Å
α = 90.00°, β = 90.00°, γ = 119.71°
Fractional positions:
1 Tl 0.5000 0.5000 0.2339
2 Al 0.0000 0.0000 0.9645
3 Al 0.5000 0.5000 0.7426
4 Cl 0.0000 0.0000 0.5591



VASP calculation (GGA-PBEsol) on a relaxed structure of La3CdFe4O12.

Properties
**DFT total energy**: -158.80 eV for the cell shown
**Total magnetic moment**: 12.34 μB/f.u.
**Uncorrected formation energy**: -2.1357 eV per atom

a = 5.3606 Å, b = 5.3544 Å, c = 7.6400 Å
α = 90.00°, β = 90.00°, γ = 89.98°
Site moments in Bohr magnetons follow the coordinates.
Fractional positions:
1 La 0.9911 0.9873 0.0000  0.01
2 La 0.5059 0.5118 0.5000  0.01
3 La 0.0094 0.0135 0.5000  0.02
4 Cd 0.4941 0.4888 0.0000  0.02
5 Fe 0.4990 0.0015 0.7544  2.71
6 Fe 0.0012 0.4990 0.2457  2.67
7 Fe 0.4990 0.0015 0.2456  2.71
8 Fe 0.0012 0.4990 0.7543  2.67
9 O 0.4657 0.0529 0.0000  0.12
10 O 0.0619 0.4753 0.0000  0.12
11 O 0.5406 0.9676 0.5000  0.07
12 O 0.9594 0.5324 0.5000  0.07
13 O 0.7818 0.2182 0.7510  0.10
14 O 0.7158 0.7151 0.2064  0.10
15 O 0.2183 0.7808 0.2581  0.10
16 O 0.2699 0.2706 0.7090  0.09
17 O 0.2183 0.7808 0.7419  0.10
18 O 0.2699 0.2706 0.2910  0.09
19 O 0.7818 0.2182 0.2490  0.10
20 O 0.7158 0.7151 0.7936  0.10



VASP calculation (GGA-PBEsol) on a relaxed structure of SrTl2Cd.

Properties
**DFT total energy**: -9.41 eV for the cell shown
**Total magnetic moment**: 0.00 μB/f.u.

a = 5.3373 Å, b = 5.3548 Å, c = 5.3373 Å
α = 119.89°, β = 90.00°, γ = 119.89°
Fractional positions:
1 Sr 0.0000 0.0000 0.0000
2 Tl 0.7500 0.5000 0.2500
3 Tl 0.2500 0.5000 0.7500
4 Cd 0.5000 0.0000 0.5000



VASP calculation (GGA-PBEsol) on a relaxed structure of BaSbTeI2.

Properties
**DFT total energy**: -17.01 eV for the cell shown
**Total magnetic moment**: 0.00 μB/f.u.
**Uncorrected formation energy**: -0.6498 eV per atom
**Relative energy among the computed polymorphs**: 0.00 eV per formula unit

a = 5.9429 Å, b = 5.9429 Å, c = 5.8380 Å
α = 90.00°, β = 90.00°, γ = 90.00°
Fractional positions:
1 I 0.0000 0.5000 0.0000
2 I 0.5000 0.0000 0.0000
3 Sb 0.0000 0.0000 0.0000
4 Te 0.0000 0.0000 0.5000
5 Ba 0.5000 0.5000 0.5000



VASP calculation (GGA-PBEsol) on a relaxed structure of CuIrS2.

Properties
**DFT total energy**: -24.05 eV for the cell shown
**Total magnetic moment**: 0.00 μB/f.u.
**Uncorrected formation energy**: -0.2816 eV per atom

a = 3.5726 Å, b = 3.5726 Å, c = 6.8626 Å
α = 74.91°, β = 74.91°, γ = 60.00°
Fractional positions:
1 S 0.8916 0.8916 0.3252
2 S 0.1084 0.1084 0.6748
3 Ir 0.5000 0.5000 0.5000
4 Cu 0.0000 0.0000 0.0000



VASP calculation (GGA-PBEsol) on a relaxed structure of ScNi3H.

Properties
**DFT total energy**: -61.19 eV for the cell shown
**Total magnetic moment**: 0.00 μB/f.u.
**Relative energy among the computed polymorphs**: 0.00 eV per formula unit

a = 4.3041 Å, b = 5.2578 Å, c = 5.2578 Å
α = 120.00°, β = 90.00°, γ = 90.00°
Fractional positions:
1 Sc 0.2500 0.3333 0.6667
2 Sc 0.7500 0.6667 0.3333
3 H 0.2500 0.6667 0.3333
4 H 0.7500 0.3333 0.6667
5 Ni 0.2500 0.8483 0.6966
6 Ni 0.7500 0.6966 0.8483
7 Ni 0.7500 0.1517 0.3034
8 Ni 0.2500 0.8483 0.1517
9 Ni 0.7500 0.1517 0.8483
10 Ni 0.2500 0.3034 0.1517



VASP calculation (GGA-PBEsol) on a relaxed structure of Li4MnCo2NiO8.

Properties
**DFT total energy**: -106.23 eV for the cell shown
**Total magnetic moment**: 4.59 μB/f.u.
**Uncorrected formation energy**: -1.5612 eV per atom
**Relative energy among the computed polymorphs**: 0.00 eV per formula unit

a = 2.8233 Å, b = 4.9442 Å, c = 9.8457 Å
α = 99.51°, β = 90.00°, γ = 106.59°
Site moments in Bohr magnetons follow the coordinates.
Fractional positions:
1 Li 0.9997 0.9993 0.0040  0.00
2 Li 0.5018 0.0035 0.2490  0.00
3 Li 0.9949 0.9898 0.4909  0.00
4 Li 0.5024 0.0049 0.7556  0.00
5 Mn 0.7496 0.4993 0.6252  2.50
6 Co 0.2503 0.5006 0.8750  0.06
7 Co 0.7500 0.5000 0.1221  -0.01
8 Ni 0.2512 0.5023 0.3752  1.40
9 O 0.1392 0.2784 0.1798  0.10
10 O 0.6323 0.2645 0.4519  0.14
11 O 0.1393 0.2787 0.6915  0.01
12 O 0.6438 0.2875 0.9378  0.01
13 O 0.3673 0.7346 0.5743  0.09
14 O 0.8603 0.7206 0.8111  0.00
15 O 0.3567 0.7134 0.0558  0.00
16 O 0.8613 0.7225 0.3008  0.14